# 1
The following is a DFT calculation (GGA-PBE) of a relaxed structure of MnCu2Pt.

Values from the calculation:
energy of formation from the pure elements: -39 kJ/mol of formula units
D(E_F): 1.97 states/eV/f.u.

Unit cell a=4.6005 b=4.6005 c=4.4914 alpha=77.34 beta=77.34 gamma=36.07
Last column: magnetic moment on the atom in μB.
Element x y z (fractional)
Cu1 0.7476 0.7476 0.7592  0.08
Cu2 0.0033 0.0033 0.9874  0.08
Mn1 0.4982 0.4982 0.5006  3.69
Pt1 0.2509 0.2509 0.2528  0.20

---

# 2
The following is a DFT calculation (GGA-PBE) of a relaxed structure of Tb2Sm2Al3.

Values from the calculation:
energy of formation from the pure elements: -174 kJ/mol of formula units
D(E_F): 5.78 states/eV/f.u.

Unit cell a=3.4543 b=3.4464 c=15.5024 alpha=90.00 beta=83.60 gamma=90.00
Element x y z (fractional)
Al1 0.0000 0.0000 0.0000
Al2 0.8650 0.0000 0.2701
Al3 0.1350 0.0000 0.7299
Tb1 0.6971 0.5000 0.6059
Tb2 0.3029 0.5000 0.3941
Sm1 0.4335 0.5000 0.1330
Sm2 0.5665 0.5000 0.8670

---

# 3
The following is a DFT calculation (GGA-PBE) of a relaxed structure of VBiI.

Values from the calculation:
D(E_F): 1.96 states/eV/f.u.
ΔE_f (raw): 98 meV per atom

Unit cell a=3.4251 b=6.7712 c=16.4099 alpha=90.00 beta=90.00 gamma=90.00
Element x y z (fractional)
Bi1 0.2500 0.3277 0.4433
Bi2 0.7500 0.8277 0.0567
Bi3 0.7500 0.6723 0.5567
Bi4 0.2500 0.1723 0.9433
V1 0.2500 0.4736 0.0583
V2 0.2500 0.0264 0.5583
V3 0.7500 0.5264 0.9417
V4 0.7500 0.9736 0.4417
I1 0.7500 0.1580 0.6745
I2 0.2500 0.8420 0.3255
I3 0.2500 0.6580 0.8255
I4 0.7500 0.3420 0.1745

---

# 4
The following is a DFT calculation (GGA-PBE) of a relaxed structure of Rb3CeSm3Te8.

Values from the calculation:
ΔE_f (raw): -1356 meV per atom

Unit cell a=9.1016 b=9.1004 c=10.1783 alpha=116.58 beta=90.00 gamma=120.01
Last column: magnetic moment on the atom in μB.
Element x y z (fractional)
Te1 0.2312 0.4623 0.6984  -0.01
Te2 0.7689 0.0327 0.3016  -0.01
Te3 0.2638 0.0327 0.3016  -0.01
Te4 0.7362 0.9673 0.6984  -0.01
Te5 0.7688 0.5377 0.3016  -0.01
Te6 0.2311 0.9673 0.6984  -0.01
Te7 0.7343 0.4685 0.7027  0.00
Te8 0.2657 0.5315 0.2973  0.00
Sm1 0.5000 0.5000 0.5000  0.00
Sm2 0.5000 0.0000 0.5000  0.00
Sm3 0.0000 0.5000 0.5000  0.00
Rb1 0.0000 0.5000 0.0000  0.00
Rb2 0.0000 0.0000 0.0000  0.00
Rb3 0.5000 0.5000 0.0000  0.00
Ce1 0.0000 0.0000 0.5000  0.17

---

# 5
The following is a DFT calculation (GGA-PBE) of a relaxed structure of ZnNi2Rh2.

Values from the calculation:
energy of formation from the pure elements: 49 kJ/mol of formula units
D(E_F): 8.21 states/eV/f.u.
polymorph energy (0 for the lowest one): 0.195 eV/atom

Unit cell a=7.0241 b=7.0241 c=2.7544 alpha=90.00 beta=90.00 gamma=90.00
Last column: magnetic moment on the atom in μB.
Element x y z (fractional)
Zn1 0.5000 0.5000 0.0000  -0.01
Zn2 0.0000 0.0000 0.0000  -0.01
Ni1 0.6196 0.1196 0.0000  0.37
Ni2 0.1196 0.3804 0.0000  0.36
Ni3 0.8804 0.6196 0.0000  0.36
Ni4 0.3804 0.8804 0.0000  0.37
Rh1 0.6774 0.8226 0.5000  0.24
Rh2 0.8226 0.3226 0.5000  0.26
Rh3 0.3226 0.1774 0.5000  0.24
Rh4 0.1774 0.6774 0.5000  0.26

---

# 6
The following is a DFT calculation (GGA-PBE) of a relaxed structure of LaGd2Cd.

Values from the calculation:
energy of formation from the pure elements: 66 kJ/mol of formula units
D(E_F): 4.94 states/eV/f.u.
polymorph energy (0 for the lowest one): 0.330 eV/atom

Unit cell a=3.5326 b=3.5326 c=12.4422 alpha=81.84 beta=81.84 gamma=60.00
Last column: magnetic moment on the atom in μB.
Element x y z (fractional)
Cd1 0.0000 0.0000 0.0000  0.02
Gd1 0.0877 0.0877 0.7368  7.21
Gd2 0.9123 0.9123 0.2632  7.21
La1 0.5000 0.5000 0.5000  -0.06

---

# 7
The following is a DFT calculation (GGA-PBE) of a relaxed structure of Lu2ScTi.

Values from the calculation:
energy of formation from the pure elements: 79 kJ/mol of formula units
D(E_F): 7.75 states/eV/f.u.
polymorph energy (0 for the lowest one): 0.059 eV/atom

Unit cell a=5.2186 b=5.2186 c=5.2186 alpha=60.00 beta=60.00 gamma=60.00
Last column: magnetic moment on the atom in μB.
Element x y z (fractional)
Lu1 0.2500 0.2500 0.2500  0.37
Lu2 0.7500 0.7500 0.7500  0.37
Sc1 0.0000 0.0000 0.0000  0.21
Ti1 0.5000 0.5000 0.5000  1.46

---

# 8
The following is a DFT calculation (GGA-PBE) of a relaxed structure of CsSrLiS2.

Values from the calculation:
D(E_F): 0.00 states/eV/f.u.
ΔE_f (raw): -1349 meV per atom

Unit cell a=6.0335 b=7.8154 c=8.6504 alpha=116.86 beta=90.00 gamma=90.00
Element x y z (fractional)
S1 0.2653 0.1023 0.2045
S2 0.7347 0.6023 0.2045
S3 0.7347 0.8977 0.7955
S4 0.2653 0.3977 0.7955
Sr1 0.5000 0.2500 0.0000
Sr2 0.5000 0.7500 0.0000
Cs1 0.2212 0.7500 0.5000
Cs2 0.7788 0.2500 0.5000
Li1 0.0000 0.5000 0.0000
Li2 0.0000 0.0000 0.0000

---

# 9
The following is a DFT calculation (GGA-PBE) of a relaxed structure of ScPd6Pt2.

Values from the calculation:
energy of formation from the pure elements: -226 kJ/mol of formula units
D(E_F): 11.65 states/eV/f.u.
polymorph energy (0 for the lowest one): 0.087 eV/atom

Unit cell a=4.8324 b=5.1891 c=10.4060 alpha=142.83 beta=96.32 gamma=94.89
Element x y z (fractional)
Pd1 0.5245 0.2315 0.4830
Pd2 0.4755 0.7685 0.5170
Pd3 0.0407 0.9006 0.7222
Pd4 0.9593 0.0994 0.2778
Pd5 0.6155 0.1927 0.9429
Pd6 0.3845 0.8073 0.0571
Pt1 0.8193 0.6039 0.8611
Pt2 0.1807 0.3961 0.1389
Sc1 0.0000 0.0000 0.5000

---

# 10
The following is a DFT calculation (GGA-PBE) of a relaxed structure of Ba3Cd4Ge2.

Values from the calculation:
energy of formation from the pure elements: -353 kJ/mol of formula units
D(E_F): 4.00 states/eV/f.u.

Unit cell a=4.8643 b=6.7672 c=10.4650 alpha=64.90 beta=76.56 gamma=68.94
Element x y z (fractional)
Cd1 0.2791 0.3762 0.0655
Cd2 0.9508 0.7199 0.3784
Cd3 0.0492 0.2801 0.6216
Cd4 0.7209 0.6238 0.9345
Ge1 0.3934 0.9407 0.2725
Ge2 0.6066 0.0593 0.7275
Ba1 0.6700 0.3152 0.3449
Ba2 0.3300 0.6848 0.6551
Ba3 0.0000 0.0000 0.0000

---

# 11
The following is a DFT calculation (GGA-PBE) of a relaxed structure of ScTaMo2.

Values from the calculation:
energy of formation from the pure elements: 53 kJ/mol of formula units
D(E_F): 5.41 states/eV/f.u.
polymorph energy (0 for the lowest one): 0.127 eV/atom

Unit cell a=4.6108 b=4.6108 c=4.6108 alpha=60.00 beta=60.00 gamma=60.00
Element x y z (fractional)
Sc1 0.5000 0.5000 0.5000
Ta1 0.7500 0.7500 0.7500
Mo1 0.0000 0.0000 0.0000
Mo2 0.2500 0.2500 0.2500

---

# 12
The following is a DFT calculation (GGA-PBE) of a relaxed structure of NaAcCdGe.

Values from the calculation:
energy of formation from the pure elements: -119 kJ/mol of formula units
D(E_F): 1.14 states/eV/f.u.

Unit cell a=5.4239 b=5.4239 c=5.4239 alpha=60.00 beta=60.00 gamma=60.00
Element x y z (fractional)
Ac1 0.5000 0.5000 0.5000
Na1 0.0000 0.0000 0.0000
Ge1 0.7500 0.7500 0.7500
Cd1 0.2500 0.2500 0.2500

---

no.,spin magnetization (Bohr magnetons per cell)
1,4.16
2,0.00
3,0.00
4,0.10
5,2.37
6,14.97
7,3.41
8,0.00
9,0.00
10,0.00
11,0.00
12,0.00